[1]
# PBE Na3AgC, relaxed
data_Na3AgC
_chemical_formula_sum 'Na3 Ag1 C1'
_cell_length_a 4.9581
_cell_length_b 4.9581
_cell_length_c 4.9581
_cell_angle_alpha 90.00
_cell_angle_beta 90.00
_cell_angle_gamma 90.00
_symmetry_space_group_name_H-M 'P m -3 m'
_symmetry_Int_Tables_number 221
_symmetry_space_group_name_Hall '-P 4 2 3'
loop_
_atom_site_label
_atom_site_type_symbol
_atom_site_fract_x
_atom_site_fract_y
_atom_site_fract_z
Na1 Na 0.0000 0.0000 0.5000
Ag1 Ag 0.5000 0.5000 0.5000
C1 C 0.0000 0.0000 0.0000
# **Total moment**: 2.0 μB per formula unit
# **Energy relative to the elements**: 81 kJ per mole of atoms
# **Offset from the most stable computed form**: 0 meV per atom

=====

[2]
# PBE NiBC3, relaxed
data_NiBC3
_chemical_formula_sum 'Ni1 B1 C3'
_cell_length_a 3.5463
_cell_length_b 3.6206
_cell_length_c 3.7583
_cell_angle_alpha 90.00
_cell_angle_beta 90.00
_cell_angle_gamma 90.00
_symmetry_space_group_name_H-M 'P m m 2'
_symmetry_Int_Tables_number 25
_symmetry_space_group_name_Hall 'P 2 -2'
loop_
_atom_site_label
_atom_site_type_symbol
_atom_site_fract_x
_atom_site_fract_y
_atom_site_fract_z
Ni1 Ni 0.0000 0.0000 0.0000
B1 B 0.5000 0.0000 0.3170
C1 C 0.5000 0.0000 0.7259
C2 C 0.5000 0.3009 0.0058
# **Total moment**: 0.0 μB per formula unit
# **Energy relative to the elements**: 39 kJ per mole of atoms
# **Offset from the most stable computed form**: 171 meV per atom

=====

[3]
# PBE Pr6C2I3N, relaxed
data_Pr6C2I3N
_chemical_formula_sum 'Pr12 C4 I6 N2'
_cell_length_a 6.7300
_cell_length_b 11.6563
_cell_length_c 8.1623
_cell_angle_alpha 90.00
_cell_angle_beta 105.95
_cell_angle_gamma 90.00
_symmetry_space_group_name_H-M 'C 1 2/m 1'
_symmetry_Int_Tables_number 12
_symmetry_space_group_name_Hall '-C 2y'
loop_
_atom_site_label
_atom_site_type_symbol
_atom_site_fract_x
_atom_site_fract_y
_atom_site_fract_z
Pr1 Pr 0.2227 0.1654 0.1721
Pr2 Pr 0.2267 0.5000 0.1725
C1 C 0.0000 0.3335 0.0000
I1 I 0.0000 0.1680 0.5000
I2 I 0.0000 0.5000 0.5000
N1 N 0.0000 0.0000 0.0000
# **Total moment**: 0.0 μB per formula unit
# **Uncorrected formation energy**: -0.860 eV/atom

=====

[4]
# PBE ReSiHg2H, relaxed
data_ReSiHg2H
_chemical_formula_sum 'Re1 Si1 Hg2 H1'
_cell_length_a 5.3723
_cell_length_b 5.3723
_cell_length_c 4.6184
_cell_angle_alpha 90.00
_cell_angle_beta 90.00
_cell_angle_gamma 90.00
_symmetry_space_group_name_H-M 'P 4/m m m'
_symmetry_Int_Tables_number 123
_symmetry_space_group_name_Hall '-P 4 2'
loop_
_atom_site_label
_atom_site_type_symbol
_atom_site_fract_x
_atom_site_fract_y
_atom_site_fract_z
Re1 Re 0.0000 0.0000 0.0000
Si1 Si 0.0000 0.0000 0.5000
Hg1 Hg 0.0000 0.5000 0.0000
H1 H 0.5000 0.5000 0.5000
# **Total moment**: 1.7 μB per formula unit
# **Final energy**: -3.32 eV per atom

=====

[5]
# PBE CaLaSb2, relaxed
data_CaLaSb2
_chemical_formula_sum 'Ca2 La2 Sb4'
_cell_length_a 8.1982
_cell_length_b 4.7742
_cell_length_c 7.4618
_cell_angle_alpha 90.00
_cell_angle_beta 111.92
_cell_angle_gamma 90.00
_symmetry_space_group_name_H-M 'C 1 2/m 1'
_symmetry_Int_Tables_number 12
_symmetry_space_group_name_Hall '-C 2y'
loop_
_atom_site_label
_atom_site_type_symbol
_atom_site_fract_x
_atom_site_fract_y
_atom_site_fract_z
Ca1 Ca 0.0000 0.0000 0.0000
La1 La 0.0000 0.5000 0.5000
Sb1 Sb 0.2502 0.0000 0.7506
# **Total moment**: 0.0 μB per formula unit
# **Uncorrected formation energy**: -0.974 eV/atom
# **Offset from the most stable computed form**: 0 meV per atom

=====

[6]
# PBE Zr3CdMo, relaxed
data_Zr3CdMo
_chemical_formula_sum 'Zr3 Cd1 Mo1'
_cell_length_a 5.1208
_cell_length_b 5.1208
_cell_length_c 5.1208
_cell_angle_alpha 90.00
_cell_angle_beta 90.00
_cell_angle_gamma 90.00
_symmetry_space_group_name_H-M 'P m -3 m'
_symmetry_Int_Tables_number 221
_symmetry_space_group_name_Hall '-P 4 2 3'
loop_
_atom_site_label
_atom_site_type_symbol
_atom_site_fract_x
_atom_site_fract_y
_atom_site_fract_z
Zr1 Zr 0.0000 0.0000 0.5000
Cd1 Cd 0.0000 0.0000 0.0000
Mo1 Mo 0.5000 0.5000 0.5000
# **Total moment**: 0.0 μB per formula unit
# **Energy relative to the elements**: 160 kJ per mole of atoms
# **Offset from the most stable computed form**: 1024 meV per atom

=====

[7]
# PBE CaLa2Al, relaxed
data_CaLa2Al
_chemical_formula_sum 'Ca1 La2 Al1'
_cell_length_a 3.6579
_cell_length_b 4.6322
_cell_length_c 7.3755
_cell_angle_alpha 90.00
_cell_angle_beta 90.26
_cell_angle_gamma 90.00
_symmetry_space_group_name_H-M 'P 1 m 1'
_symmetry_Int_Tables_number 6
_symmetry_space_group_name_Hall 'P -2y'
loop_
_atom_site_label
_atom_site_type_symbol
_atom_site_fract_x
_atom_site_fract_y
_atom_site_fract_z
Ca1 Ca 0.0000 0.0000 0.0000
La1 La 0.0025 0.0000 0.5512
La2 La 0.5020 0.5000 0.3158
Al1 Al 0.5010 0.5000 0.7739
# **Total moment**: 0.0 μB per formula unit
# **Energy relative to the elements**: -6 kJ per mole of atoms

=====

[8]
# PBE SrTmPd2, relaxed
data_SrTmPd2
_chemical_formula_sum 'Sr4 Tm4 Pd8'
_cell_length_a 7.1497
_cell_length_b 7.1497
_cell_length_c 7.1497
_cell_angle_alpha 90.00
_cell_angle_beta 90.00
_cell_angle_gamma 90.00
_symmetry_space_group_name_H-M 'F m -3 m'
_symmetry_Int_Tables_number 225
_symmetry_space_group_name_Hall '-F 4 2 3'
loop_
_atom_site_label
_atom_site_type_symbol
_atom_site_fract_x
_atom_site_fract_y
_atom_site_fract_z
Sr1 Sr 0.0000 0.0000 0.0000
Tm1 Tm 0.0000 0.0000 0.5000
Pd1 Pd 0.2500 0.2500 0.2500
# **Total moment**: 0.0 μB per formula unit
# **Energy relative to the elements**: -63 kJ per mole of atoms
# **Offset from the most stable computed form**: 135 meV per atom

=====

[9]
# PBE PuThTc, relaxed
data_PuThTc
_chemical_formula_sum 'Pu1 Th1 Tc1'
_cell_length_a 4.4502
_cell_length_b 4.4502
_cell_length_c 4.2579
_cell_angle_alpha 90.00
_cell_angle_beta 90.00
_cell_angle_gamma 120.00
_symmetry_space_group_name_H-M 'P -6 m 2'
_symmetry_Int_Tables_number 187
_symmetry_space_group_name_Hall 'P -6 2'
loop_
_atom_site_label
_atom_site_type_symbol
_atom_site_fract_x
_atom_site_fract_y
_atom_site_fract_z
Pu1 Pu 0.0000 0.0000 0.0000
Th1 Th 0.6667 0.3333 0.5000
Tc1 Tc 0.3333 0.6667 0.0000
# **Total moment**: 5.0 μB per formula unit
# **Energy relative to the elements**: 7 kJ per mole of atoms
# **Offset from the most stable computed form**: 62 meV per atom

=====

[10]
# PBE DySc2Ni3, relaxed
data_DySc2Ni3
_chemical_formula_sum 'Dy1 Sc2 Ni3'
_cell_length_a 3.2309
_cell_length_b 3.2309
_cell_length_c 9.7501
_cell_angle_alpha 90.00
_cell_angle_beta 90.00
_cell_angle_gamma 90.00
_symmetry_space_group_name_H-M 'P 4/m m m'
_symmetry_Int_Tables_number 123
_symmetry_space_group_name_Hall '-P 4 2'
loop_
_atom_site_label
_atom_site_type_symbol
_atom_site_fract_x
_atom_site_fract_y
_atom_site_fract_z
Dy1 Dy 0.0000 0.0000 0.0000
Sc1 Sc 0.0000 0.0000 0.3400
Ni1 Ni 0.5000 0.5000 0.1876
Ni2 Ni 0.5000 0.5000 0.5000
# **Total moment**: 0.0 μB per formula unit
# **Energy relative to the elements**: -44 kJ per mole of atoms

=====

[11]
# PBE TmZr3Sc7, relaxed
data_TmZr3Sc7
_chemical_formula_sum 'Tm1 Zr3 Sc7'
_cell_length_a 6.4603
_cell_length_b 6.4603
_cell_length_c 7.7783
_cell_angle_alpha 90.00
_cell_angle_beta 90.00
_cell_angle_gamma 120.00
_symmetry_space_group_name_H-M 'P 3 m 1'
_symmetry_Int_Tables_number 156
_symmetry_space_group_name_Hall 'P 3 -2"'
loop_
_atom_site_label
_atom_site_type_symbol
_atom_site_fract_x
_atom_site_fract_y
_atom_site_fract_z
Tm1 Tm 0.0000 0.0000 0.0000
Zr1 Zr 0.3360 0.1680 0.3396
Sc1 Sc 0.1668 0.3336 0.6572
Sc2 Sc 0.5010 0.0020 0.0139
Sc3 Sc 0.6667 0.3333 0.6712
# **Total moment**: 0.0 μB per formula unit
# **Energy relative to the elements**: 23 kJ per mole of atoms

=====

[12]
# PBE RhCS2N, relaxed
data_RhCS2N
_chemical_formula_sum 'Rh1 C1 S2 N1'
_cell_length_a 5.4511
_cell_length_b 5.4511
_cell_length_c 2.4348
_cell_angle_alpha 90.00
_cell_angle_beta 90.00
_cell_angle_gamma 90.00
_symmetry_space_group_name_H-M 'P 4/m m m'
_symmetry_Int_Tables_number 123
_symmetry_space_group_name_Hall '-P 4 2'
loop_
_atom_site_label
_atom_site_type_symbol
_atom_site_fract_x
_atom_site_fract_y
_atom_site_fract_z
Rh1 Rh 0.0000 0.0000 0.0000
C1 C 0.5000 0.5000 0.5000
S1 S 0.0000 0.5000 0.5000
N1 N 0.5000 0.5000 0.0000
# **Total moment**: 0.0 μB per formula unit
# **Uncorrected formation energy**: 1.039 eV/atom

=====

[13]
# PBE Na3Nd2US6, relaxed
data_Na3Nd2US6
_chemical_formula_sum 'Na6 Nd4 U2 S12'
_cell_length_a 7.0791
_cell_length_b 12.2590
_cell_length_c 7.1113
_cell_angle_alpha 90.00
_cell_angle_beta 109.40
_cell_angle_gamma 90.00
_symmetry_space_group_name_H-M 'C 1 2/m 1'
_symmetry_Int_Tables_number 12
_symmetry_space_group_name_Hall '-C 2y'
loop_
_atom_site_label
_atom_site_type_symbol
_atom_site_fract_x
_atom_site_fract_y
_atom_site_fract_z
Na1 Na 0.0000 0.0000 0.0000
Na2 Na 0.0000 0.3322 0.0000
Nd1 Nd 0.0000 0.1665 0.5000
U1 U 0.0000 0.5000 0.5000
S1 S 0.2401 0.3377 0.7332
S2 S 0.2469 0.5000 0.2682
# **Total moment**: 3.0 μB per formula unit
# **Uncorrected formation energy**: -1.624 eV/atom

=====

[14]
# PBE Pr12MgTl3, relaxed
data_Pr12MgTl3
_chemical_formula_sum 'Pr12 Mg1 Tl3'
_cell_length_a 5.0449
_cell_length_b 5.0449
_cell_length_c 20.1352
_cell_angle_alpha 90.00
_cell_angle_beta 90.00
_cell_angle_gamma 90.00
_symmetry_space_group_name_H-M 'P 4/m m m'
_symmetry_Int_Tables_number 123
_symmetry_space_group_name_Hall '-P 4 2'
loop_
_atom_site_label
_atom_site_type_symbol
_atom_site_fract_x
_atom_site_fract_y
_atom_site_fract_z
Pr1 Pr 0.0000 0.0000 0.0000
Pr2 Pr 0.0000 0.0000 0.2493
Pr3 Pr 0.0000 0.0000 0.5000
Pr4 Pr 0.0000 0.5000 0.1259
Pr5 Pr 0.0000 0.5000 0.3750
Mg1 Mg 0.5000 0.5000 0.0000
Tl1 Tl 0.5000 0.5000 0.2507
Tl2 Tl 0.5000 0.5000 0.5000
# **Total moment**: 0.0 μB per formula unit
# **Energy relative to the elements**: -16 kJ per mole of atoms

=====

[15]
# PBE PmInIO6, relaxed
data_PmInIO6
_chemical_formula_sum 'Pm2 In2 I2 O12'
_cell_length_a 5.5088
_cell_length_b 5.5088
_cell_length_c 10.0421
_cell_angle_alpha 90.00
_cell_angle_beta 90.00
_cell_angle_gamma 120.00
_symmetry_space_group_name_H-M 'P -3 1 c'
_symmetry_Int_Tables_number 163
_symmetry_space_group_name_Hall '-P 3 2c'
loop_
_atom_site_label
_atom_site_type_symbol
_atom_site_fract_x
_atom_site_fract_y
_atom_site_fract_z
Pm1 Pm 0.0000 0.0000 0.0000
In1 In 0.3333 0.6667 0.2500
I1 I 0.3333 0.6667 0.7500
O1 O 0.0242 0.3680 0.6373
# **Total moment**: 0.6 μB per formula unit
# **Uncorrected formation energy**: -1.485 eV/atom

=====

[16]
# PBE CsLiInHg2, relaxed
data_CsLiInHg2
_chemical_formula_sum 'Cs1 Li1 In1 Hg2'
_cell_length_a 5.7611
_cell_length_b 5.7611
_cell_length_c 5.6326
_cell_angle_alpha 90.00
_cell_angle_beta 90.00
_cell_angle_gamma 90.00
_symmetry_space_group_name_H-M 'P 4/m m m'
_symmetry_Int_Tables_number 123
_symmetry_space_group_name_Hall '-P 4 2'
loop_
_atom_site_label
_atom_site_type_symbol
_atom_site_fract_x
_atom_site_fract_y
_atom_site_fract_z
Cs1 Cs 0.0000 0.0000 0.0000
Li1 Li 0.5000 0.5000 0.0000
In1 In 0.5000 0.5000 0.5000
Hg1 Hg 0.0000 0.5000 0.5000
# **Total moment**: 0.0 μB per formula unit
# **Energy relative to the elements**: -11 kJ per mole of atoms
# **Offset from the most stable computed form**: 0 meV per atom

=====

[17]
# PBE Er3Th3Sc8, relaxed
data_Er3Th3Sc8
_chemical_formula_sum 'Er6 Th6 Sc16'
_cell_length_a 5.1858
_cell_length_b 10.0221
_cell_length_c 15.3808
_cell_angle_alpha 90.00
_cell_angle_beta 90.00
_cell_angle_gamma 90.00
_symmetry_space_group_name_H-M 'I m m m'
_symmetry_Int_Tables_number 71
_symmetry_space_group_name_Hall '-I 2 2'
loop_
_atom_site_label
_atom_site_type_symbol
_atom_site_fract_x
_atom_site_fract_y
_atom_site_fract_z
Er1 Er 0.0000 0.0000 0.0000
Er2 Er 0.0000 0.0000 0.3126
Th1 Th 0.0000 0.2271 0.5000
Th2 Th 0.0000 0.5000 0.0000
Sc1 Sc 0.0000 0.2622 0.1325
Sc2 Sc 0.0000 0.3523 0.3151
# **Total moment**: 0.0 μB per formula unit
# **Energy relative to the elements**: 28 kJ per mole of atoms

=====

[18]
# PBE As7Pb, relaxed
data_As7Pb
_chemical_formula_sum 'As28 Pb4'
_cell_length_a 8.7677
_cell_length_b 8.7677
_cell_length_c 8.7677
_cell_angle_alpha 90.00
_cell_angle_beta 90.00
_cell_angle_gamma 90.00
_symmetry_space_group_name_H-M 'F m -3 m'
_symmetry_Int_Tables_number 225
_symmetry_space_group_name_Hall '-F 4 2 3'
loop_
_atom_site_label
_atom_site_type_symbol
_atom_site_fract_x
_atom_site_fract_y
_atom_site_fract_z
As1 As 0.0000 0.0000 0.0000
As2 As 0.0000 0.2500 0.2500
Pb1 Pb 0.0000 0.0000 0.5000
# **Total moment**: 0.0 μB per formula unit
# **Energy relative to the elements**: 51 kJ per mole of atoms

=====

[19]
# PBE PmTaIr, relaxed
data_PmTaIr
_chemical_formula_sum 'Pm4 Ta4 Ir4'
_cell_length_a 3.2165
_cell_length_b 3.2165
_cell_length_c 25.1250
_cell_angle_alpha 90.00
_cell_angle_beta 90.00
_cell_angle_gamma 90.00
_symmetry_space_group_name_H-M 'I 4/m m m'
_symmetry_Int_Tables_number 139
_symmetry_space_group_name_Hall '-I 4 2'
loop_
_atom_site_label
_atom_site_type_symbol
_atom_site_fract_x
_atom_site_fract_y
_atom_site_fract_z
Pm1 Pm 0.0000 0.0000 0.0703
Ta1 Ta 0.0000 0.0000 0.2135
Ir1 Ir 0.0000 0.0000 0.3454
# **Total moment**: 0.0 μB per formula unit
# **Energy relative to the elements**: -37 kJ per mole of atoms

=====

[20]
# PBE Ac6CuIr2I3, relaxed
data_Ac6CuIr2I3
_chemical_formula_sum 'Ac12 Cu2 Ir4 I6'
_cell_length_a 7.6840
_cell_length_b 13.3076
_cell_length_c 9.0165
_cell_angle_alpha 90.00
_cell_angle_beta 106.50
_cell_angle_gamma 90.00
_symmetry_space_group_name_H-M 'C 1 2/m 1'
_symmetry_Int_Tables_number 12
_symmetry_space_group_name_Hall '-C 2y'
loop_
_atom_site_label
_atom_site_type_symbol
_atom_site_fract_x
_atom_site_fract_y
_atom_site_fract_z
Ac1 Ac 0.2165 0.0000 0.1850
Ac2 Ac 0.2345 0.3273 0.1855
Cu1 Cu 0.0000 0.5000 0.0000
Ir1 Ir 0.0000 0.1668 0.0000
I1 I 0.0000 0.0000 0.5000
I2 I 0.0000 0.3345 0.5000
# **Total moment**: 0.0 μB per formula unit
# **Uncorrected formation energy**: -0.917 eV/atom

=====

no.,ρ (g cm⁻³)
1,2.573
2,3.632
3,6.820
4,7.680
5,5.179
6,5.961
7,4.582
8,8.531
9,13.053
10,6.991
11,4.473
12,4.431
13,4.495
14,7.545
15,6.075
16,5.825
17,6.471
18,7.210
19,13.240
20,8.230